Na2PH after structural relaxation. Source: the Alexandria database, functional PBE. Values from VASP.

```
&SYSTEM
  ibrav = 0, nat = 8, ntyp = 3
/
ATOMIC_SPECIES
H 1.01 H.upf
Na 22.99 Na.upf
P 30.97 P.upf
ATOMIC_POSITIONS angstrom
H -4.0359 -4.1263 5.8590
H -0.6745 -0.2074 1.9703
Na -1.3123 -2.7409 4.9025
Na -3.3981 -1.5929 2.9269
Na -2.2563 -2.2057 0.0320
Na -2.4540 -2.1281 7.7974
P -0.5664 -1.6055 2.3089
P -4.1440 -2.7283 5.5204
CELL_PARAMETERS angstrom
-4.5097 -0.7417 -1.6217
2.6809 -5.1386 2.1451
-2.8815 1.5465 7.3059
```

calculated volume	110.3	Å³/f.u.
density	1.17	g cm⁻³
VASP energy	-3.08	eV per atom
polymorph energy (0 for the lowest one)	0.000	eV per atom